PBE-GGA V2ZnGa2Co5, optimized geometry; calculated formation energy = 0.1281 eV per atom; spin magnetization = 0.00 μB per cell; space group = P4/mbm, No. 127
1.0
8.606 0.000 0.000
0.000 8.606 0.000
0.000 0.000 3.491
V Zn Ga Co
4 2 4 10
direct
0.125 0.375 0.000
0.375 0.875 0.000
0.625 0.125 0.000
0.875 0.625 0.000
0.000 0.000 0.000
0.500 0.500 0.000
0.173 0.673 0.000
0.327 0.173 0.000
0.673 0.827 0.000
0.827 0.327 0.000
0.000 0.500 0.500
0.078 0.201 0.500
0.201 0.922 0.500
0.299 0.422 0.500
0.422 0.701 0.500
0.500 0.000 0.500
0.578 0.299 0.500
0.701 0.578 0.500
0.799 0.078 0.500
0.922 0.799 0.500

=====

PBE-GGA Ga3CoW, optimized geometry; calculated formation energy = 0.8490 eV per atom; spin magnetization = 0.00 μB per cell; energy above the lowest structure with this stoichiometry = 0.000 eV per atom; space group = Pm-3m, No. 221
1.0
4.387 0.000 0.000
0.000 4.387 0.000
0.000 0.000 4.387
Ga Co W
3 1 1
direct
0.000 0.000 0.500
0.000 0.500 0.000
0.500 0.000 0.000
0.000 0.000 0.000
0.500 0.500 0.500

=====

PBE-GGA GaCoW, optimized geometry; calculated formation energy = -0.0481 eV per atom; spin magnetization = 0.50 μB per cell; space group = I4mm, No. 107
1.0
2.794 0.000 0.000
0.000 2.794 0.000
0.000 0.000 10.343
Ga Co W
2 2 2
direct
0.000 0.000 0.000
0.500 0.500 0.500
0.000 0.000 0.351
0.500 0.500 0.851
0.000 0.000 0.690
0.500 0.500 0.190

=====

PBE-GGA GaCo2W, optimized geometry; calculated formation energy = 0.0279 eV per atom; spin magnetization = 0.73 μB per cell; space group = P4/mmm, No. 123
1.0
4.335 0.000 0.000
0.000 4.335 0.000
0.000 0.000 2.728
Ga Co W
1 2 1
direct
0.000 0.000 0.000
0.000 0.500 0.500
0.500 0.000 0.500
0.500 0.500 0.000

=====

PBE-GGA GaCoW, optimized geometry; calculated formation energy = 0.4001 eV per atom; spin magnetization = 0.00 μB per cell; space group = P6_222, No. 180
1.0
5.085 0.000 0.000
-2.543 4.404 0.000
0.000 0.000 11.507
Ga Co W
6 6 6
direct
0.000 0.500 0.349
0.000 0.500 0.984
0.500 0.000 0.317
0.500 0.000 0.683
0.500 0.500 0.016
0.500 0.500 0.651
0.277 0.638 0.167
0.362 0.638 0.833
0.362 0.723 0.500
0.638 0.277 0.500
0.638 0.362 0.833
0.723 0.362 0.167
0.000 0.000 0.167
0.000 0.000 0.500
0.000 0.000 0.833
0.000 0.500 0.667
0.500 0.000 0.000
0.500 0.500 0.333

=====

PBE-GGA Ga4Co5W, optimized geometry; calculated formation energy = -0.2219 eV per atom; spin magnetization = 0.52 μB per cell; space group = P4/mmm, No. 123
1.0
2.791 0.000 0.000
0.000 2.791 0.000
0.000 0.000 15.612
Ga Co W
4 5 1
direct
0.000 0.000 0.097
0.000 0.000 0.291
0.000 0.000 0.709
0.000 0.000 0.903
0.500 0.500 0.000
0.500 0.500 0.194
0.500 0.500 0.388
0.500 0.500 0.612
0.500 0.500 0.806
0.000 0.000 0.500

=====

PBE-GGA GaCo3W, optimized geometry; calculated formation energy = 1.4492 eV per atom; spin magnetization = 1.14 μB per cell; energy above the lowest structure with this stoichiometry = 0.206 eV per atom; space group = Pm-3m, No. 221
1.0
4.453 0.000 0.000
0.000 4.453 0.000
0.000 0.000 4.453
Ga Co W
1 3 1
direct
0.000 0.000 0.000
0.000 0.500 0.500
0.500 0.000 0.500
0.500 0.500 0.000
0.500 0.500 0.500

=====

PBE-GGA Ga2Co2W, optimized geometry; calculated formation energy = -0.0019 eV per atom; spin magnetization = 0.00 μB per cell; energy above the lowest structure with this stoichiometry = 0.000 eV per atom; space group = P4/mbm, No. 127
1.0
6.951 0.000 0.000
0.000 6.951 0.000
0.000 0.000 2.688
Ga Co W
4 4 2
direct
0.132 0.368 0.000
0.368 0.868 0.000
0.632 0.132 0.000
0.868 0.632 0.000
0.167 0.667 0.500
0.333 0.167 0.500
0.667 0.833 0.500
0.833 0.333 0.500
0.000 0.000 0.000
0.500 0.500 0.000

=====

PBE-GGA Ga2Co2W, optimized geometry; calculated formation energy = 0.0570 eV per atom; spin magnetization = 0.00 μB per cell; energy above the lowest structure with this stoichiometry = 0.059 eV per atom; space group = P4/mbm, No. 127
1.0
6.921 0.000 0.000
0.000 6.921 0.000
0.000 0.000 2.721
Ga Co W
4 4 2
direct
0.166 0.334 0.000
0.334 0.834 0.000
0.666 0.166 0.000
0.834 0.666 0.000
0.130 0.630 0.500
0.370 0.130 0.500
0.630 0.870 0.500
0.870 0.370 0.500
0.000 0.000 0.500
0.500 0.500 0.500

=====

PBE-GGA GaCoW2, optimized geometry; calculated formation energy = 0.6685 eV per atom; spin magnetization = 0.00 μB per cell; space group = I-42d, No. 122
1.0
3.680 0.000 0.000
0.000 3.680 0.000
0.000 0.000 18.620
Ga Co W
4 4 8
direct
0.000 0.000 0.000
0.000 0.500 0.250
0.500 0.000 0.750
0.500 0.500 0.500
0.000 0.000 0.500
0.000 0.500 0.750
0.500 0.000 0.250
0.500 0.500 0.000
0.247 0.250 0.125
0.250 0.747 0.375
0.250 0.753 0.875
0.253 0.250 0.625
0.747 0.750 0.625
0.750 0.247 0.875
0.750 0.253 0.375
0.753 0.750 0.125

=====

PBE-GGA GaCo2W, optimized geometry; calculated formation energy = 0.5250 eV per atom; spin magnetization = 0.00 μB per cell; space group = I-42d, No. 122
1.0
6.568 0.000 0.000
0.000 6.568 0.000
0.000 0.000 5.240
Ga Co W
4 8 4
direct
0.000 0.000 0.000
0.000 0.500 0.250
0.500 0.000 0.750
0.500 0.500 0.500
0.238 0.250 0.625
0.250 0.738 0.875
0.250 0.762 0.375
0.262 0.250 0.125
0.738 0.750 0.125
0.750 0.238 0.375
0.750 0.262 0.875
0.762 0.750 0.625
0.000 0.000 0.500
0.000 0.500 0.750
0.500 0.000 0.250
0.500 0.500 0.000

=====

PBE-GGA GaCo2W2, optimized geometry; calculated formation energy = 0.1807 eV per atom; spin magnetization = 0.00 μB per cell; space group = P4/mbm, No. 127
1.0
7.067 0.000 0.000
0.000 7.067 0.000
0.000 0.000 2.786
Ga Co W
2 4 4
direct
0.000 0.000 0.000
0.500 0.500 0.000
0.124 0.376 0.000
0.376 0.876 0.000
0.624 0.124 0.000
0.876 0.624 0.000
0.169 0.669 0.500
0.331 0.169 0.500
0.669 0.831 0.500
0.831 0.331 0.500

=====

PBE-GGA GaCo3W, optimized geometry; calculated formation energy = 1.2436 eV per atom; spin magnetization = 4.57 μB per cell; energy above the lowest structure with this stoichiometry = 0.000 eV per atom; space group = Pm-3m, No. 221
1.0
4.198 0.000 0.000
0.000 4.198 0.000
0.000 0.000 4.198
Ga Co W
1 3 1
direct
0.000 0.000 0.000
0.000 0.000 0.500
0.000 0.500 0.000
0.500 0.000 0.000
0.500 0.500 0.500

=====

PBE-GGA GaCo2W, optimized geometry; calculated formation energy = 0.0530 eV per atom; spin magnetization = 4.38 μB per cell; space group = R3m, No. 160
1.0
2.738 0.000 0.000
-1.369 2.371 0.000
0.000 0.000 24.309
Ga Co W
3 6 3
direct
0.000 0.000 0.000
0.333 0.667 0.667
0.667 0.333 0.333
0.000 0.000 0.586
0.000 0.000 0.747
0.333 0.667 0.253
0.333 0.667 0.414
0.667 0.333 0.081
0.667 0.333 0.919
0.000 0.000 0.167
0.333 0.667 0.833
0.667 0.333 0.500

=====

PBE-GGA Ga2CoW, optimized geometry; calculated formation energy = 0.2772 eV per atom; spin magnetization = 7.30 μB per cell; space group = Fm-3m, No. 225
1.0
6.087 0.000 0.000
0.000 6.087 0.000
0.000 0.000 6.087
Ga Co W
8 4 4
direct
0.250 0.250 0.250
0.250 0.250 0.750
0.250 0.750 0.250
0.250 0.750 0.750
0.750 0.250 0.250
0.750 0.250 0.750
0.750 0.750 0.250
0.750 0.750 0.750
0.000 0.000 0.000
0.000 0.500 0.500
0.500 0.000 0.500
0.500 0.500 0.000
0.000 0.000 0.500
0.000 0.500 0.000
0.500 0.000 0.000
0.500 0.500 0.500

=====

PBE-GGA GaCo2W, optimized geometry; calculated formation energy = -0.1529 eV per atom; spin magnetization = 0.00 μB per cell; space group = P4/mmm, No. 123
1.0
2.734 0.000 0.000
0.000 2.734 0.000
0.000 0.000 6.698
Ga Co W
1 2 1
direct
0.000 0.000 0.000
0.500 0.500 0.235
0.500 0.500 0.765
0.000 0.000 0.500

=====

PBE-GGA Y2Ga2Co15, optimized geometry; calculated formation energy = -0.1237 eV per atom; spin magnetization = 20.88 μB per cell; space group = R-3m, No. 166
1.0
4.183 2.415 4.073
-4.183 2.415 4.073
0.000 -4.831 4.073
Y Ga Co
2 2 15
direct
0.149 0.149 0.149
0.851 0.851 0.851
0.393 0.393 0.393
0.607 0.607 0.607
0.000 0.500 0.500
0.149 0.149 0.652
0.149 0.652 0.149
0.211 0.500 0.789
0.211 0.789 0.500
0.348 0.851 0.851
0.500 0.000 0.500
0.500 0.211 0.789
0.500 0.500 0.000
0.500 0.789 0.211
0.652 0.149 0.149
0.789 0.211 0.500
0.789 0.500 0.211
0.851 0.348 0.851
0.851 0.851 0.348

=====

PBE-GGA Y6Ga2Co, optimized geometry; calculated formation energy = -0.2932 eV per atom; spin magnetization = 0.00 μB per cell; space group = P2_1/c, No. 14
1.0
6.042 0.000 0.000
0.000 8.262 0.000
-5.580 0.000 9.544
Y Ga Co
12 4 2
direct
0.067 0.182 0.444
0.067 0.318 0.944
0.322 0.673 0.442
0.322 0.827 0.942
0.366 0.030 0.257
0.366 0.470 0.757
0.634 0.530 0.243
0.634 0.970 0.743
0.678 0.173 0.058
0.678 0.327 0.558
0.933 0.682 0.056
0.933 0.818 0.556
0.176 0.123 0.752
0.176 0.377 0.252
0.824 0.623 0.748
0.824 0.877 0.248
0.000 0.000 0.000
0.000 0.500 0.500

=====

PBE-GGA Y4GaCo3, optimized geometry; calculated formation energy = -0.2874 eV per atom; spin magnetization = 1.06 μB per cell; space group = Pmm2, No. 25
1.0
4.018 0.000 0.000
0.000 4.087 0.000
0.000 0.000 10.356
Y Ga Co
4 1 3
direct
0.000 0.000 0.000
0.000 0.500 0.279
0.500 0.000 0.485
0.500 0.500 0.776
0.000 0.000 0.699
0.000 0.500 0.566
0.500 0.000 0.188
0.500 0.500 0.088

=====

PBE-GGA Y3Ga7Co2, optimized geometry; calculated formation energy = -0.4604 eV per atom; spin magnetization = 0.00 μB per cell; energy above the lowest structure with this stoichiometry = 0.000 eV per atom; space group = Cmmm, No. 65
1.0
2.238 -11.251 0.000
2.238 11.251 0.000
0.000 0.000 4.499
Y Ga Co
3 7 2
direct
0.000 0.000 0.000
0.185 0.815 0.000
0.815 0.185 0.000
0.093 0.907 0.500
0.284 0.716 0.500
0.407 0.593 0.000
0.500 0.500 0.500
0.593 0.407 0.000
0.716 0.284 0.500
0.907 0.093 0.500
0.391 0.609 0.500
0.609 0.391 0.500

=====

PBE-GGA Y3Ga5Co6, optimized geometry; calculated formation energy = -0.3843 eV per atom; spin magnetization = 3.96 μB per cell; space group = Pmmn, No. 59
1.0
4.140 0.000 0.000
0.000 12.190 0.000
0.000 0.000 8.956
Y Ga Co
6 10 12
direct
0.250 0.070 0.249
0.250 0.430 0.249
0.250 0.750 0.223
0.750 0.250 0.777
0.750 0.570 0.751
0.750 0.930 0.751
0.250 0.087 0.864
0.250 0.413 0.864
0.250 0.635 0.515
0.250 0.750 0.847
0.250 0.865 0.515
0.750 0.135 0.485
0.750 0.250 0.153
0.750 0.365 0.485
0.750 0.587 0.136
0.750 0.913 0.136
0.250 0.058 0.586
0.250 0.250 0.017
0.250 0.250 0.542
0.250 0.442 0.586
0.250 0.584 0.994
0.250 0.916 0.994
0.750 0.084 0.006
0.750 0.416 0.006
0.750 0.558 0.414
0.750 0.750 0.458
0.750 0.750 0.983
0.750 0.942 0.414

=====

PBE-GGA Y2Ga3Co2, optimized geometry; calculated formation energy = -0.5076 eV per atom; spin magnetization = 0.00 μB per cell; space group = C2/m, No. 12
1.0
9.969 0.000 0.000
0.000 3.981 0.000
-2.999 0.000 6.229
Y Ga Co
4 6 4
direct
0.144 0.000 0.273
0.356 0.500 0.727
0.644 0.500 0.273
0.856 0.000 0.727
0.000 0.500 0.500
0.142 0.500 0.944
0.358 0.000 0.056
0.500 0.000 0.500
0.642 0.000 0.944
0.858 0.500 0.056
0.130 0.000 0.699
0.370 0.500 0.301
0.630 0.500 0.699
0.870 0.000 0.301